# 1
# ZnInGe2Os

Crystalline ZnInGe2Os at its relaxed geometry (PBE, Alexandria via LeMat-Bulk).

```
ZnInGe2Os
1.0
4.7833 0.0000 0.0000
0.0000 4.7833 0.0000
0.0000 0.0000 5.0104
Zn In Ge Os
1 1 2 1
Cartesian
0.0000 0.0000 0.0000 Zn
2.3917 2.3917 0.0000 In
0.0000 2.3917 2.5052 Ge
2.3917 0.0000 2.5052 Ge
0.0000 0.0000 2.5052 Os
```

Results
Formation energy from the elements   0.2448 eV per atom
Volume   115 Å³/cell
Calculated density   7.470 Mg/m³

# 2
# Ta2OsRu

Crystalline Ta2OsRu at its relaxed geometry (PBE, Alexandria via LeMat-Bulk).

```
Ta2OsRu
1.0
5.7826 0.0000 0.0000
0.0000 5.7826 0.0000
0.0000 0.0000 11.4745
Ta Os Ru
8 4 4
Cartesian
1.4277 1.4456 1.4343 Ta
1.4456 4.3190 4.3029 Ta
1.4456 4.3549 10.0402 Ta
1.4636 1.4456 7.1716 Ta
4.3190 4.3369 7.1716 Ta
4.3369 1.4277 10.0402 Ta
4.3369 1.4636 4.3029 Ta
4.3549 4.3369 1.4343 Ta
0.0000 0.0000 5.7372 Os
0.0000 2.8913 8.6059 Os
2.8913 0.0000 2.8686 Os
2.8913 2.8913 0.0000 Os
0.0000 0.0000 0.0000 Ru
0.0000 2.8913 2.8686 Ru
2.8913 0.0000 8.6059 Ru
2.8913 2.8913 5.7372 Ru
```

Results
Formation energy from the elements   1.2340 eV per atom
Volume   384 Å³/cell
Calculated density   11.308 Mg/m³
E above lowest polymorph   1552.9 meV/atom

- Which value of volume does entry 2 give?
  384 Å³/cell